Here is crystalline KMn2O3 at its relaxed geometry from Alexandria. Energies are from PBE with a Hubbard U.

Lattice parameters (Å, degrees): 5.6940 5.6400 5.6400 120.02 90.00 90.00
Site moments in Bohr magnetons follow the coordinates.
Atoms (fractional coordinates):
1 K 0.2500 0.5000 0.5000  0.01
2 K 0.7500 0.5000 0.5000  0.01
3 Mn 0.5000 0.8333 0.1667  4.40
4 Mn 0.0000 0.8333 0.1667  4.40
5 Mn 0.0000 0.1667 0.8333  4.40
6 Mn 0.5000 0.1667 0.8333  4.40
7 O 0.7500 0.5000 0.0346  -0.06
8 O 0.7500 0.0346 0.5000  -0.06
9 O 0.2500 0.5000 0.9654  -0.06
10 O 0.7500 0.9655 0.9655  -0.06
11 O 0.2500 0.0345 0.0345  -0.06
12 O 0.2500 0.9654 0.5000  -0.06

Results
E   -39.52 eV/f.u.
Symmetry   P6_3/mcm (193)
Theoretical density   4.2 Mg/m³